# 1
Here is an optimized crystal structure of BaInIrW2 from Alexandria. Energies are from PBE-GGA.

## Properties
Its total energy is -4.5614 eV per atom. As for the space group: P4/mmm.

Cell: 5.1411 5.0481 5.1411 Å, 90.00 90.00 90.00°
Site moments in Bohr magnetons follow the coordinates.
Positions (direct):
Ba  0.0000  0.0000  0.0000  0.01
W  0.5000  0.0000  0.0000  1.35
Ir  0.0000  0.5000  0.0000  0.16
W  0.0000  0.0000  0.5000  1.03
In  0.5000  0.5000  0.5000  -0.04



# 2
Here is an optimized crystal structure of Ba2YIn12Ir3 from Alexandria. Energies are from PBE-GGA.

## Properties
Its total energy is -3.8933 eV per atom. As for the space group: R-3m.

Cell: 8.9297 8.9297 8.9297 Å, 68.56 68.56 68.56°
Positions (direct):
In  0.2787  0.2787  0.9226
Ba  0.5949  0.5949  0.5949
Ir  0.0000  0.0000  0.5000
In  0.7213  0.7213  0.0774
In  0.2787  0.9226  0.2787
Ir  0.5000  0.0000  0.0000
In  0.1405  0.6084  0.1405
In  0.8595  0.3916  0.8595
In  0.0774  0.7213  0.7213
Y  0.0000  0.0000  0.0000
In  0.3916  0.8595  0.8595
In  0.1405  0.1405  0.6084
In  0.6084  0.1405  0.1405
Ba  0.4051  0.4051  0.4051
Ir  0.0000  0.5000  0.0000
In  0.9226  0.2787  0.2787
In  0.7213  0.0774  0.7213
In  0.8595  0.8595  0.3916



# 3
Here is an optimized crystal structure of BaZn2InIr from Alexandria. Energies are from PBE-GGA.

## Properties
Its total energy is -3.5316 eV per atom. As for the space group: P4/mmm.

Cell: 5.0002 5.0002 5.1253 Å, 90.00 90.00 90.00°
Positions (direct):
Ba  0.5000  0.5000  0.5000
In  0.0000  0.0000  0.5000
Ir  0.0000  0.0000  0.0000
Zn  0.5000  0.0000  0.0000
Zn  0.0000  0.5000  0.0000



# 4
Here is an optimized crystal structure of BaZnIn2Ir from Alexandria. Energies are from PBE-GGA.

## Properties
Its total energy is -3.8279 eV per atom. As for the space group: P4/mmm.

Cell: 5.1973 5.1973 5.0228 Å, 90.00 90.00 90.00°
Positions (direct):
In  0.5000  0.0000  0.0000
Ba  0.5000  0.5000  0.5000
Ir  0.0000  0.0000  0.0000
In  0.0000  0.5000  0.0000
Zn  0.0000  0.0000  0.5000



# 5
Here is an optimized crystal structure of KBa2In from Alexandria. Energies are from PBE-GGA.

## Properties
Its total energy is -1.9689 eV per atom. As for the space group: P4mm.

Cell: 4.3472 4.3472 11.2389 Å, 90.00 90.00 90.05°
Positions (direct):
In  0.0000  0.0000  0.4829
Ba  0.5000  0.5000  0.3171
Ba  0.0000  0.0000  0.0136
K  0.5000  0.5000  0.6864



# 6
Here is an optimized crystal structure of K2BaIn from Alexandria. Energies are from PBE-GGA.

## Properties
Its total energy is -1.6913 eV per atom. As for the space group: P4/mmm.

Cell: 5.3945 5.3945 6.6492 Å, 90.00 90.00 90.00°
Site moments in Bohr magnetons follow the coordinates.
Positions (direct):
K  0.0000  0.0000  0.0000  0.02
Ba  0.5000  0.0000  0.5000  0.15
In  0.0000  0.5000  0.5000  0.16
K  0.5000  0.5000  0.0000  0.02



# 7
Here is an optimized crystal structure of KBa2In from Alexandria. Energies are from PBE-GGA.

## Properties
Its total energy is -2.0171 eV per atom. As for the space group: C2/m.

Cell: 4.5193 4.5193 13.1153 Å, 80.94 80.94 59.06°
Positions (direct):
K  0.2500  0.2500  0.2500
Ba  0.0221  0.0221  0.9405
Ba  0.4779  0.4779  0.5595
In  0.7500  0.7500  0.7500



# 8
Here is an optimized crystal structure of K3BaIn from Alexandria. Energies are from PBE-GGA.

## Properties
As for the space group: Pm-3m. The calculation puts the offset from the most stable computed form at 51.2 kJ/mol of atoms.

Cell: 7.6770 7.6770 7.6770 Å, 90.00 90.00 90.00°
Site moments in Bohr magnetons follow the coordinates.
Positions (direct):
In  0.5000  0.5000  0.5000  -0.01
K  0.0000  0.5000  0.0000  0.01
Ba  0.0000  0.0000  0.0000  0.14
K  0.0000  0.0000  0.5000  0.01
K  0.5000  0.0000  0.0000  0.01



# 9
Here is an optimized crystal structure of K2BaIn2 from Alexandria. Energies are from PBE-GGA.

## Properties
As for the space group: P4/mbm. The calculation puts the offset from the most stable computed form at 7.0 kJ/mol of atoms.

Cell: 9.9802 9.9802 4.0628 Å, 90.00 90.00 90.00°
Positions (direct):
K  0.6193  0.1193  0.0000
In  0.3171  0.1829  0.5000
In  0.6829  0.8171  0.5000
Ba  0.5000  0.5000  0.0000
K  0.3807  0.8807  0.0000
In  0.1829  0.6829  0.5000
K  0.1193  0.3807  0.0000
Ba  0.0000  0.0000  0.0000
K  0.8807  0.6193  0.0000
In  0.8171  0.3171  0.5000



# 10
Here is an optimized crystal structure of K3BaIn from Alexandria. Energies are from PBE-GGA.

## Properties
As for the space group: Pm-3m. The calculation puts the offset from the most stable computed form at 0.0 kJ/mol of atoms.

Cell: 6.8614 6.8614 6.8614 Å, 90.00 90.00 90.00°
Positions (direct):
K  0.0000  0.5000  0.0000
Ba  0.5000  0.5000  0.5000
K  0.5000  0.0000  0.0000
In  0.0000  0.0000  0.0000
K  0.0000  0.0000  0.5000



# 11
Here is an optimized crystal structure of KBa4In from Alexandria. Energies are from PBE-GGA.

## Properties
Its total energy is -1.6548 eV per atom. As for the space group: F-43m.

Cell: 7.8085 7.8085 7.8085 Å, 60.00 60.00 60.00°
Positions (direct):
Ba  0.3766  0.3766  0.3766
Ba  0.3766  0.3766  0.8703
K  0.0000  0.0000  0.0000
Ba  0.8703  0.3766  0.3766
In  0.7500  0.7500  0.7500
Ba  0.3766  0.8703  0.3766



# 12
Here is an optimized crystal structure of KBa2In from Alexandria. Energies are from PBE-GGA.

## Properties
Its total energy is -1.9829 eV per atom. As for the space group: P4/mmm.

Cell: 6.2505 6.2515 4.7749 Å, 90.00 90.00 90.00°
Site moments in Bohr magnetons follow the coordinates.
Positions (direct):
In  0.5000  0.0000  0.5000  0.02
Ba  0.5000  0.5000  0.0000  0.07
Ba  0.0000  0.0000  0.0000  0.07
K  0.0000  0.5000  0.5000  0.03



Record-wise V values, in A^3/atom: 26.685 33.023 25.629 27.135 53.099 48.373 56.487 90.489 40.468 64.605 56.109 46.646